NdErSbI2 after structural relaxation. Source: OQMD, functional GGA-PBE.

Computed properties:
symmetry	No. 156
calculated volume	37.585	Å³/atom
E_tot	-22.92	eV per cell

a = 4.3772 Å, b = 4.3772 Å, c = 11.3257 Å
α = 90.00°, β = 90.00°, γ = 120.00°
Closest atoms and distances in Å follow each position.
Fractional coordinates of all 5 atoms:
Nd (0.0000, 0.0000, 0.0000)  3 Sb 3.11, 3 I 3.25
Er (0.6667, 0.3333, 0.6973)  3 Sb 3.00, 3 I 3.16
Sb (0.3333, 0.6667, 0.8393)  3 Er 3.00, 3 Nd 3.11
I (0.0000, 0.0000, 0.5294)  3 Er 3.16
I (0.6667, 0.3333, 0.1797)  3 Nd 3.25